Crystalline NiPbF6 at its relaxed geometry, computed with GGA+U.

For the total energy, the calculation gives -101.0 eV for the cell shown. As for the mass density: 5.54 g cm⁻³. As for the density of states at the Fermi level: 0.000 states/eV/atom. The crystal system is trigonal.

The structure belongs to space group R-3 (No. 148, hexagonal axes); the cell edges are 5.2476, 5.2476 and 14.3336 Å and the angles 90.00°, 90.00° and 120.00°. The inequivalent atoms are Ni at (0.0000, 0.0000, 0.0000), Pb at (0.0000, 0.0000, 0.5000) and F at (0.0094, 0.6447, 0.7483).